Entry 1:
A PBEsol-optimized structure of Co3TcOs, computed with meta-GGA SCAN.

Energy of formation   2.02 eV/atom
Volume   74 Å³/cell

The structure in POSCAR format:
```
Co3TcOs
1.0
4.2064 0.0000 0.0000
0.0000 4.2064 0.0000
0.0000 0.0000 4.2064
Co Tc Os
3 1 1
direct
0.0000 0.0000 0.5000 Co
0.0000 0.5000 0.0000 Co
0.5000 0.0000 0.0000 Co
0.0000 0.0000 0.0000 Tc
0.5000 0.5000 0.5000 Os
```

=====

Entry 2:
A PBEsol-optimized structure of Co2TcOs, computed with meta-GGA SCAN.

Energy of formation   0.23 eV/atom
Offset from the most stable computed form   89 meV/atom
Volume   49 Å³/cell

The structure in POSCAR format:
```
Co2TcOs
1.0
4.2232 -1.3005 0.0000
4.2232 1.3005 0.0000
-0.7933 0.0000 4.4402
Co Tc Os
2 1 1
direct
0.2489 0.2489 0.2486 Co
0.7511 0.7511 0.7514 Co
0.0000 0.0000 0.5000 Tc
0.5000 0.5000 0.0000 Os
```

=====

Entry 3:
A PBEsol-optimized structure of Co2TcOs, computed with meta-GGA SCAN.

Energy of formation   0.25 eV/atom
Offset from the most stable computed form   108 meV/atom
Volume   48 Å³/cell

The structure in POSCAR format:
```
Co2TcOs
1.0
4.2594 -1.2851 0.0000
4.2594 1.2851 0.0000
-0.7215 0.0000 4.3884
Co Tc Os
2 1 1
direct
0.0000 0.0000 0.0000 Co
0.2478 0.2478 0.7505 Co
0.7465 0.7465 0.2347 Tc
0.5029 0.5029 0.5172 Os
```

=====

Entry 4:
A PBEsol-optimized structure of CoTcOs3, computed with meta-GGA SCAN.

Energy of formation   2.04 eV/atom
Offset from the most stable computed form   0 meV/atom
Volume   79 Å³/cell

The structure in POSCAR format:
```
CoTcOs3
1.0
4.2831 0.0000 0.0000
0.0000 4.2831 0.0000
0.0000 0.0000 4.2831
Co Tc Os
1 1 3
direct
0.0000 0.0000 0.0000 Co
0.5000 0.5000 0.5000 Tc
0.0000 0.0000 0.5000 Os
0.0000 0.5000 0.0000 Os
0.5000 0.0000 0.0000 Os
```

=====

Entry 5:
A PBEsol-optimized structure of Co2TcOs, computed with meta-GGA SCAN.

Energy of formation   0.14 eV/atom
Offset from the most stable computed form   0 meV/atom
Volume   48 Å³/cell

The structure in POSCAR format:
```
Co2TcOs
1.0
-1.8210 1.8210 3.6305
1.8210 -1.8210 3.6305
1.8210 1.8210 -3.6305
Co Tc Os
2 1 1
direct
0.0000 0.0000 0.0000 Co
0.7500 0.2500 0.5000 Co
0.5000 0.5000 0.0000 Tc
0.2500 0.7500 0.5000 Os
```

=====

Entry 6:
A PBEsol-optimized structure of Co2TcOs, computed with meta-GGA SCAN.

Energy of formation   0.17 eV/atom
Offset from the most stable computed form   30 meV/atom
Volume   48 Å³/cell

The structure in POSCAR format:
```
Co2TcOs
1.0
3.9382 0.0000 0.0000
0.0000 1.2815 4.7101
0.0000 -1.2815 4.7101
Co Tc Os
2 1 1
direct
0.0000 0.0000 0.0000 Co
0.5000 0.1324 0.1324 Co
0.5000 0.3973 0.3973 Tc
0.0000 0.7329 0.7329 Os
```

=====

Entry 7:
A PBEsol-optimized structure of CoTcOs, computed with meta-GGA SCAN.

Energy of formation   0.17 eV/atom
Offset from the most stable computed form   0 meV/atom
Volume   39 Å³/cell

The structure in POSCAR format:
```
CoTcOs
1.0
-1.5337 1.5337 4.0981
1.5337 -1.5337 4.0981
1.5337 1.5337 -4.0981
Co Tc Os
1 1 1
direct
0.0000 0.0000 0.0000 Co
0.3418 0.3418 0.0000 Tc
0.6625 0.6625 0.0000 Os
```

=====

Entry 8:
A PBEsol-optimized structure of Co2TcOs, computed with meta-GGA SCAN.

Energy of formation   0.31 eV/atom
Offset from the most stable computed form   173 meV/atom
Volume   51 Å³/cell

The structure in POSCAR format:
```
Co2TcOs
1.0
1.3804 -2.1735 0.0000
1.3804 2.1735 0.0000
0.0000 0.0000 8.4483
Co Tc Os
2 1 1
direct
0.0000 0.0000 0.0000 Co
0.5000 0.5000 0.2279 Co
0.5000 0.5000 0.7497 Tc
0.0000 0.0000 0.4811 Os
```

=====

Entry 9:
A PBEsol-optimized structure of CoTcOs, computed with meta-GGA SCAN.

Energy of formation   0.37 eV/atom
Offset from the most stable computed form   201 meV/atom
Volume   40 Å³/cell

The structure in POSCAR format:
```
CoTcOs
1.0
0.0000 2.2031 6.4994
1.3841 0.0000 6.4994
1.3841 2.2031 0.0000
Co Tc Os
1 1 1
direct
0.0000 0.0000 0.0000 Co
0.3385 0.3385 0.6615 Tc
0.6648 0.6648 0.3352 Os
```

=====

Entry 10:
A PBEsol-optimized structure of CoTeOs, computed with meta-GGA SCAN.

Energy relative to the elements, uncorrected   0.4462 eV/atom
Offset from the most stable computed form   0 meV/atom
Volume   52 Å³/cell

The structure in POSCAR format:
```
CoTeOs
1.0
0.0000 2.9666 2.9666
2.9666 0.0000 2.9666
2.9666 2.9666 0.0000
Co Te Os
1 1 1
direct
0.0000 0.0000 0.0000 Co
0.5000 0.5000 0.5000 Te
0.2500 0.2500 0.2500 Os
```

=====

Entry 11:
A PBEsol-optimized structure of CoTe2Os, computed with meta-GGA SCAN.

Energy relative to the elements, uncorrected   0.6277 eV/atom
Offset from the most stable computed form   0 meV/atom
Volume   95 Å³/cell

The structure in POSCAR format:
```
CoTe2Os
1.0
1.8740 1.0820 7.8235
-1.8740 1.0820 7.8235
0.0000 -2.1639 7.8235
Co Te Os
1 2 1
direct
0.0000 0.0000 0.0000 Co
0.1031 0.1031 0.1031 Te
0.8969 0.8969 0.8969 Te
0.5000 0.5000 0.5000 Os
```

=====

Entry 12:
A PBEsol-optimized structure of CoTe2Os, computed with meta-GGA SCAN.

Energy relative to the elements, uncorrected   0.7019 eV/atom
Offset from the most stable computed form   74 meV/atom
Volume   69 Å³/cell

The structure in POSCAR format:
```
CoTe2Os
1.0
4.6353 0.0000 0.0000
0.0000 4.6353 0.0000
0.0000 0.0000 3.2217
Co Te Os
1 2 1
direct
0.0000 0.0000 0.0000 Co
0.0000 0.5000 0.5000 Te
0.5000 0.0000 0.5000 Te
0.5000 0.5000 0.0000 Os
```

=====

Entry 13:
A PBEsol-optimized structure of CoTeOs, computed with meta-GGA SCAN.

Energy relative to the elements, uncorrected   0.7946 eV/atom
Offset from the most stable computed form   348 meV/atom
Volume   46 Å³/cell

The structure in POSCAR format:
```
CoTeOs
1.0
-1.5286 1.5286 4.9481
1.5286 -1.5286 4.9481
1.5286 1.5286 -4.9481
Co Te Os
1 1 1
direct
0.0000 0.0000 0.0000 Co
0.3230 0.3230 0.0000 Te
0.6467 0.6467 0.0000 Os
```

=====

Entry 14:
A PBEsol-optimized structure of TiCoOs3, computed with meta-GGA SCAN.

Energy of formation   2.06 eV/atom
Volume   88 Å³/cell

The structure in POSCAR format:
```
TiCoOs3
1.0
4.4412 0.0000 0.0000
0.0000 4.4412 0.0000
0.0000 0.0000 4.4412
Ti Co Os
1 1 3
direct
0.0000 0.0000 0.0000 Ti
0.5000 0.5000 0.5000 Co
0.0000 0.0000 0.5000 Os
0.0000 0.5000 0.0000 Os
0.5000 0.0000 0.0000 Os
```

=====

Entry 15:
A PBEsol-optimized structure of Tl2CoOs, computed with meta-GGA SCAN.

Energy of formation   1.04 eV/atom
Offset from the most stable computed form   331 meV/atom
Volume   69 Å³/cell

The structure in POSCAR format:
```
Tl2CoOs
1.0
-1.9636 1.9636 4.4486
1.9636 -1.9636 4.4486
1.9636 1.9636 -4.4486
Tl Co Os
2 1 1
direct
0.0000 0.0000 0.0000 Tl
0.7500 0.2500 0.5000 Tl
0.5000 0.5000 0.0000 Co
0.2500 0.7500 0.5000 Os
```

=====

Entry 16:
A PBEsol-optimized structure of TlCoOs, computed with meta-GGA SCAN.

Energy of formation   0.96 eV/atom
Volume   50 Å³/cell

The structure in POSCAR format:
```
TlCoOs
1.0
0.0000 2.9228 2.9228
2.9228 0.0000 2.9228
2.9228 2.9228 0.0000
Tl Co Os
1 1 1
direct
0.0000 0.0000 0.0000 Tl
0.7500 0.7500 0.7500 Co
0.5000 0.5000 0.5000 Os
```

=====

Entry 17:
A PBEsol-optimized structure of Tl2CoOs, computed with meta-GGA SCAN.

Energy of formation   0.71 eV/atom
Offset from the most stable computed form   0 meV/atom
Volume   74 Å³/cell

The structure in POSCAR format:
```
Tl2CoOs
1.0
2.9152 0.0000 0.0000
0.0000 2.9152 0.0000
0.0000 0.0000 8.6725
Tl Co Os
2 1 1
direct
0.0000 0.0000 0.0000 Tl
0.5000 0.5000 0.3473 Tl
0.0000 0.0000 0.5892 Co
0.5000 0.5000 0.7397 Os
```

=====

Entry 18:
A PBEsol-optimized structure of TlCo2Os, computed with meta-GGA SCAN.

Energy of formation   0.62 eV/atom
Offset from the most stable computed form   0 meV/atom
Volume   56 Å³/cell

The structure in POSCAR format:
```
TlCo2Os
1.0
2.8879 0.0000 0.0000
0.0000 2.8879 0.0000
0.0000 0.0000 6.7163
Tl Co Os
1 2 1
direct
0.0000 0.0000 0.0000 Tl
0.0000 0.0000 0.4713 Co
0.5000 0.5000 0.2788 Co
0.5000 0.5000 0.6781 Os
```

=====

Entry 19:
A PBEsol-optimized structure of TlCoOs2, computed with meta-GGA SCAN.

Energy of formation   1.11 eV/atom
Offset from the most stable computed form   490 meV/atom
Volume   59 Å³/cell

The structure in POSCAR format:
```
TlCoOs2
1.0
3.7528 0.0000 0.0000
0.0000 3.7528 0.0000
0.0000 0.0000 4.1892
Tl Co Os
1 1 2
direct
0.0000 0.0000 0.0000 Tl
0.5000 0.5000 0.0000 Co
0.0000 0.5000 0.5000 Os
0.5000 0.0000 0.5000 Os
```

=====

Entry 20:
A PBEsol-optimized structure of TlCoOs2, computed with meta-GGA SCAN.

Energy of formation   0.62 eV/atom
Offset from the most stable computed form   0 meV/atom
Volume   59 Å³/cell

The structure in POSCAR format:
```
TlCoOs2
1.0
2.8099 0.0000 0.0000
0.0000 2.8099 0.0000
0.0000 0.0000 7.5169
Tl Co Os
1 1 2
direct
0.0000 0.0000 0.0000 Tl
0.5000 0.5000 0.2579 Co
0.0000 0.0000 0.4767 Os
0.5000 0.5000 0.7030 Os
```

=====

Entry 21:
A PBEsol-optimized structure of TlCo2Os, computed with meta-GGA SCAN.

Energy of formation   0.72 eV/atom
Offset from the most stable computed form   102 meV/atom
Volume   55 Å³/cell

The structure in POSCAR format:
```
TlCo2Os
1.0
4.3144 -1.3796 0.0000
4.3144 1.3796 0.0000
-0.8835 0.0000 4.6349
Tl Co Os
1 2 1
direct
0.0000 0.0000 0.0000 Tl
0.2423 0.2423 0.7547 Co
0.5033 0.5033 0.5063 Co
0.7657 0.7657 0.3386 Os
```

=====

Entry 22:
A PBEsol-optimized structure of TlCoOs2, computed with meta-GGA SCAN.

Energy of formation   0.87 eV/atom
Offset from the most stable computed form   250 meV/atom
Volume   60 Å³/cell

The structure in POSCAR format:
```
TlCoOs2
1.0
2.9242 0.0000 0.0000
0.0000 2.9242 0.0000
0.0000 0.0000 6.9640
Tl Co Os
1 1 2
direct
0.0000 0.0000 0.0000 Tl
0.0000 0.0000 0.5000 Co
0.5000 0.5000 0.3043 Os
0.5000 0.5000 0.6957 Os
```

=====

Entry 23:
A PBEsol-optimized structure of TlCoOs2, computed with meta-GGA SCAN.

Energy of formation   0.88 eV/atom
Offset from the most stable computed form   255 meV/atom
Volume   60 Å³/cell

The structure in POSCAR format:
```
TlCoOs2
1.0
1.3960 0.8060 8.8942
-1.3960 0.8060 8.8942
0.0000 -1.6120 8.8942
Tl Co Os
1 1 2
direct
0.0000 0.0000 0.0000 Tl
0.5000 0.5000 0.5000 Co
0.2393 0.2393 0.2393 Os
0.7607 0.7607 0.7607 Os
```

=====

Entry 24:
A PBEsol-optimized structure of Tl2CoOs, computed with meta-GGA SCAN.

Energy of formation   1.07 eV/atom
Offset from the most stable computed form   360 meV/atom
Volume   68 Å³/cell

The structure in POSCAR format:
```
Tl2CoOs
1.0
-1.5666 2.5209 4.3293
1.5666 -2.5209 4.3293
1.5666 2.5209 -4.3293
Tl Co Os
2 1 1
direct
0.2348 0.2348 0.0000 Tl
0.7652 0.7652 0.0000 Tl
0.0000 0.5000 0.5000 Co
0.5000 0.0000 0.5000 Os
```

=====

Entry 25:
A PBEsol-optimized structure of TlCo2Os, computed with meta-GGA SCAN.

Energy of formation   0.74 eV/atom
Offset from the most stable computed form   122 meV/atom
Volume   55 Å³/cell

The structure in POSCAR format:
```
TlCo2Os
1.0
2.7381 0.0000 0.0000
0.0000 4.0470 0.0000
-1.3587 0.0000 4.9293
Tl Co Os
1 2 1
direct
0.0000 0.0000 0.0000 Tl
0.6022 0.5000 0.2062 Co
0.7401 0.0000 0.4833 Co
0.3159 0.5000 0.6364 Os
```

=====

Entry 26:
A PBEsol-optimized structure of Tl2CoOs, computed with meta-GGA SCAN.

Energy of formation   1.03 eV/atom
Offset from the most stable computed form   321 meV/atom
Volume   70 Å³/cell

The structure in POSCAR format:
```
Tl2CoOs
1.0
3.1021 0.0000 0.0000
0.0000 4.4223 0.0000
0.0000 0.0000 5.0967
Tl Co Os
2 1 1
direct
0.0000 0.0000 0.0000 Tl
0.5000 0.0000 0.5000 Tl
0.0000 0.5000 0.5000 Co
0.5000 0.5000 0.0000 Os
```

=====

Entry 27:
A PBEsol-optimized structure of CoOsW, computed with meta-GGA SCAN.

Energy of formation   0.71 eV/atom
Offset from the most stable computed form   561 meV/atom
Volume   49 Å³/cell

The structure in POSCAR format:
```
CoOsW
1.0
0.0000 2.8978 2.8978
2.8978 0.0000 2.8978
2.8978 2.8978 0.0000
Co Os W
1 1 1
direct
0.0000 0.0000 0.0000 Co
0.2500 0.2500 0.2500 Os
0.5000 0.5000 0.5000 W
```

=====

Entry 28:
A PBEsol-optimized structure of CoOsW2, computed with meta-GGA SCAN.

Energy of formation   0.10 eV/atom
Offset from the most stable computed form   0 meV/atom
Volume   55 Å³/cell

The structure in POSCAR format:
```
CoOsW2
1.0
-1.9235 1.9235 3.7474
1.9235 -1.9235 3.7474
1.9235 1.9235 -3.7474
Co Os W
1 1 2
direct
0.0000 0.0000 0.0000 Co
0.5000 0.5000 0.0000 Os
0.2500 0.7500 0.5000 W
0.7500 0.2500 0.5000 W
```

=====

Entry 29:
A PBEsol-optimized structure of Co2OsW, computed with meta-GGA SCAN.

Energy of formation   0.19 eV/atom
Offset from the most stable computed form   92 meV/atom
Volume   51 Å³/cell

The structure in POSCAR format:
```
Co2OsW
1.0
0.0000 2.9494 2.9494
2.9494 0.0000 2.9494
2.9494 2.9494 0.0000
Co Os W
2 1 1
direct
0.0000 0.0000 0.0000 Co
0.2500 0.2500 0.2500 Co
0.5000 0.5000 0.5000 Os
0.7500 0.7500 0.7500 W
```

=====

Entry 30:
A PBEsol-optimized structure of CoOsW2, computed with meta-GGA SCAN.

Energy of formation   0.11 eV/atom
Offset from the most stable computed form   4 meV/atom
Volume   55 Å³/cell

The structure in POSCAR format:
```
CoOsW2
1.0
3.8391 0.0000 0.0000
0.0000 3.8391 0.0000
0.0000 0.0000 3.7582
Co Os W
1 1 2
direct
0.0000 0.0000 0.0000 Co
0.5000 0.5000 0.0000 Os
0.0000 0.5000 0.5000 W
0.5000 0.0000 0.5000 W
```

=====

Entry 31:
A PBEsol-optimized structure of CoOsW, computed with meta-GGA SCAN.

Energy of formation   0.14 eV/atom
Offset from the most stable computed form   0 meV/atom
Volume   40 Å³/cell

The structure in POSCAR format:
```
CoOsW
1.0
-1.3369 1.8770 4.0064
1.3369 -1.8770 4.0064
1.3369 1.8770 -4.0064
Co Os W
1 1 1
direct
0.0000 0.0000 0.0000 Co
0.6579 0.6579 0.0000 Os
0.3319 0.3319 0.0000 W
```